KRbRh2W | Alexandria via LeMat-Bulk | meta-GGA SCAN | PBEsol geometry; crystal system = tetragonal; ΔE_f = 2.67 eV per atom
1.0
-3.3269 3.4516 0.4419
-1.5659 -2.0310 4.0743
3.2755 2.8163 2.6628
K Rh Rb W
1 2 1 1
direct
0.0000 0.0000 0.0000 K
0.0000 0.5000 0.0000 Rh
0.5000 0.0000 0.0000 Rh
0.0000 0.0000 0.5000 Rb
0.5000 0.5000 0.5000 W

=====

K2RbS2 | Alexandria via LeMat-Bulk | meta-GGA SCAN | PBEsol geometry; crystal system = tetragonal; ΔE_f (raw) = -1017 meV per atom
1.0
3.4069 0.0000 0.0000
0.0000 8.9280 0.0000
0.0000 0.0000 8.9280
K S Rb
4 4 2
direct
0.0000 0.3780 0.8780 K
0.0000 0.8780 0.6220 K
0.0000 0.6220 0.1220 K
0.0000 0.1220 0.3780 K
0.5000 0.1760 0.6760 S
0.5000 0.6760 0.8240 S
0.5000 0.8240 0.3240 S
0.5000 0.3240 0.1760 S
0.0000 0.0000 0.0000 Rb
0.0000 0.5000 0.5000 Rb

=====

KRbS | Alexandria via LeMat-Bulk | meta-GGA SCAN | PBEsol geometry; crystal system = orthorhombic; ΔE_f (raw) = -1242 meV per atom
1.0
4.9147 0.0000 0.0000
0.0000 8.1440 0.0000
0.0000 0.0000 9.4292
K Rb S
4 4 4
direct
0.2500 0.3528 0.4262 K
0.7500 0.6472 0.5738 K
0.2500 0.8528 0.0738 K
0.7500 0.1472 0.9262 K
0.7500 0.0242 0.3232 Rb
0.2500 0.9758 0.6768 Rb
0.7500 0.5242 0.1768 Rb
0.2500 0.4758 0.8232 Rb
0.7500 0.2622 0.6121 S
0.2500 0.7378 0.3879 S
0.7500 0.7622 0.8879 S
0.2500 0.2378 0.1121 S

=====

| no. | volume (Å³/cell) |
| --- | --- |
| 1 | 117.6 |
| 2 | 271.6 |
| 3 | 377.4 |